# 1
{
  "formula": "HgCSe2N",
  "functional": "GGA-PBE",
  "state": "optimized geometry",
  "space_group": "P4/mmm (123)",
  "relative_energy_kj_per_mol_fu": 977,
  "dos_at_fermi_per_ev_atom": 0.66,
  "total_magnetization_mub_per_fu": 1.80,
  "formation_energy_uncorrected_mev_per_atom": 2603,
  "lattice": [[-3.2051, 4.1494, -1.2272], [-4.0749, -3.4081, -0.8809], [-1.1179, 0.3105, 3.9695]],
  "species": ["N", "C", "Se", "Se", "Hg"],
  "frac_coords": [[0.0000, 0.0000, 0.5000], [0.5000, 0.5000, 0.5000], [0.0000, 0.5000, 0.0000], [0.5000, 0.0000, 0.0000], [0.0000, 0.0000, 0.0000]]
}

***

# 2
{
  "formula": "Zr2VSnH",
  "functional": "GGA-PBE",
  "state": "optimized geometry",
  "space_group": "P4/mmm (123)",
  "dft_energy_ha_per_atom": -0.258,
  "dos_at_fermi_per_ev_atom": 0.48,
  "total_magnetization_mub_per_fu": 0.00,
  "lattice": [[-3.5596, 0.9066, -2.7662], [2.1605, -2.1057, -3.4702], [-1.6312, -3.3329, 1.0068]],
  "species": ["Zr", "Zr", "H", "V", "Sn"],
  "frac_coords": [[0.5000, 0.0000, 0.0000], [0.0000, 0.5000, 0.0000], [0.0000, 0.0000, 0.0000], [0.0000, 0.0000, 0.5000], [0.5000, 0.5000, 0.5000]]
}

***

# 3
{
  "formula": "DyMgCuRh",
  "functional": "GGA-PBE",
  "state": "optimized geometry",
  "space_group": "F-43m (216)",
  "e_form_ev_per_atom": -0.4372,
  "dos_at_fermi_per_ev_atom": 0.70,
  "total_magnetization_mub_per_fu": 0.00,
  "lattice": [[-1.8090, 2.7891, 3.3128], [-4.4840, 1.3593, -0.2686], [-3.1528, -1.6990, 3.0331]],
  "species": ["Mg", "Rh", "Dy", "Cu"],
  "frac_coords": [[0.5000, 0.5000, 0.5000], [0.7500, 0.7500, 0.7500], [0.0000, 0.0000, 0.0000], [0.2500, 0.2500, 0.2500]]
}

***

What did the third record say?
{
  "formula": "DyMgCuRh",
  "functional": "GGA-PBE",
  "state": "optimized geometry",
  "space_group": "F-43m (216)",
  "e_form_ev_per_atom": -0.4372,
  "dos_at_fermi_per_ev_atom": 0.70,
  "total_magnetization_mub_per_fu": 0.00,
  "lattice": [[-1.8090, 2.7891, 3.3128], [-4.4840, 1.3593, -0.2686], [-3.1528, -1.6990, 3.0331]],
  "species": ["Mg", "Rh", "Dy", "Cu"],
  "frac_coords": [[0.5000, 0.5000, 0.5000], [0.7500, 0.7500, 0.7500], [0.0000, 0.0000, 0.0000], [0.2500, 0.2500, 0.2500]]
}